Record 1
# MgSc3Pt

Crystalline MgSc3Pt at its relaxed geometry (PBE, Alexandria via LeMat-Bulk).

Computed properties:
The value obtained for the volume is 135.2 Å³/f.u. For the size of the total moment, the calculation gives 0.00 μB/f.u. The formation energy comes out at -0.240 eV per atom. Its excess energy over the best structure of this formula in the dataset is 0.00 eV/f.u. The total energy is -27.829 eV for the cell shown.

Cell lengths 5.133, 5.133, 5.133 Å; angles 90.00, 90.00, 90.00 degrees
Space group Pm-3m (No. 221)
Inequivalent atoms, fractional coordinates:
Mg  0.000  0.000  0.000 x1
Sc  0.000  0.500  0.500 x3
Pt  0.500  0.500  0.500 x1


Record 2
# MgSc2Pt9

Crystalline MgSc2Pt9 at its relaxed geometry (PBE, Alexandria via LeMat-Bulk).

Computed properties:
The value obtained for the volume is 190.7 Å³/f.u. For the size of the total moment, the calculation gives 0.00 μB/f.u. The formation energy comes out at -0.907 eV per atom. The total energy is -79.506 eV for the cell shown.

Cell lengths 3.994, 3.994, 11.954 Å; angles 90.00, 90.00, 90.00 degrees
Space group P4/mmm (No. 123)
Inequivalent atoms, fractional coordinates:
Mg  0.000  0.000  0.000 x1
Sc  0.000  0.000  0.331 x2
Pt  0.000  0.500  0.165 x4
Pt  0.000  0.500  0.500 x2
Pt  0.500  0.500  0.000 x1
Pt  0.500  0.500  0.332 x2